1.
An optimized crystal structure of Mg2Zn5CuIr2, computed with GGA-PBE.

abc: 9.1061 9.1061 3.8985
angles: 90.00 90.00 90.00
Last column: nearest neighbours and their distance in Å.
Space group P4/mbm (No. 127)
Asymmetric unit:
1 Mg 0.1692 0.3308 0.0000 [4 per cell]  3 Ir 2.62-2.73, 2 Zn 2.92
2 Zn 0.0000 0.5000 0.5000 [2 per cell]  4 Ir 2.54
3 Zn 0.0707 0.8053 0.5000 [8 per cell]  2 Ir 2.59, 3 Zn 2.67-2.85, 2 Cu 2.71
4 Cu 0.0000 0.0000 0.0000 [2 per cell]  8 Zn 2.71
5 Ir 0.1271 0.6271 0.0000 [4 per cell]  6 Zn 2.54-2.59, 3 Mg 2.62-2.73



2.
An optimized crystal structure of YFeAs, computed with GGA-PBE.

abc: 6.3053 6.3053 6.3053
angles: 90.00 90.00 90.00
Last column: nearest neighbours and their distance in Å.
Space group F-43m (No. 216)
Asymmetric unit:
1 Y 0.0000 0.0000 0.0000 [4 per cell]  4 As 2.73
2 Fe 0.0000 0.0000 0.5000 [4 per cell]  4 As 2.73
3 As 0.2500 0.2500 0.7500 [4 per cell]  4 Fe 2.73, 4 Y 2.73



3.
An optimized crystal structure of LiZn2HAu, computed with GGA-PBE.

abc: 4.0377 4.0377 3.8157
angles: 90.00 90.00 90.00
Last column: nearest neighbours and their distance in Å.
Space group P4/mmm (No. 123)
Asymmetric unit:
1 Li 0.0000 0.0000 0.0000 [1 per cell]  2 H 1.91
2 Zn 0.0000 0.5000 0.5000 [2 per cell]  2 H 2.02
3 H 0.0000 0.0000 0.5000 [1 per cell]  2 Li 1.91, 4 Zn 2.02
4 Au 0.5000 0.5000 0.0000 [1 per cell]  8 Zn 2.78, 4 Li 2.86



4.
An optimized crystal structure of YGa2Te, computed with GGA-PBE.

abc: 8.1892 8.1892 6.0655
angles: 90.00 90.00 90.00
Last column: nearest neighbours and their distance in Å.
Space group I-42d (No. 122)
Asymmetric unit:
1 Y 0.0000 0.0000 0.0000 [4 per cell]  2 Te 3.03, 4 Ga 3.04
2 Ga 0.2418 0.2500 0.6250 [8 per cell]  2 Te 2.95, 2 Ga 3.04, 2 Y 3.04
3 Te 0.0000 0.0000 0.5000 [4 per cell]  4 Ga 2.95, 2 Y 3.03

Summary:
Formation energy from raw total energies (eV per atom): -0.3098



5.
An optimized crystal structure of GeW2I, computed with GGA-PBE.

abc: 6.4956 6.4956 6.4956
angles: 90.00 90.00 90.00
Last column: nearest neighbours and their distance in Å.
Space group Fm-3m (No. 225)
Asymmetric unit:
1 Ge 0.0000 0.0000 0.0000 [4 per cell]  8 W 2.81
2 W 0.2500 0.2500 0.2500 [8 per cell]  4 Ge 2.81, 4 I 2.81
3 I 0.0000 0.0000 0.5000 [4 per cell]  8 W 2.81

Summary:
Formation energy from raw total energies (eV per atom): 1.0325



6.
An optimized crystal structure of HfSBr, computed with GGA-PBE.

abc: 3.6705 5.0136 9.2963
angles: 90.00 100.98 90.00
Last column: nearest neighbours and their distance in Å.
Space group P2_1/m (No. 11)
Asymmetric unit:
1 Hf 0.2078 0.2500 0.4124 [2 per cell]  4 S 2.51-2.57, 2 Br 2.72
2 S 0.1970 0.7500 0.3902 [2 per cell]  4 Hf 2.51-2.57
3 Br 0.3984 0.7500 0.8077 [2 per cell]  2 Hf 2.72

Summary:
Formation energy from raw total energies (eV per atom): -1.4777



7.
An optimized crystal structure of Sr4HPt2, computed with GGA-PBE.

abc: 4.9813 4.9813 16.3828
angles: 90.00 90.00 90.00
Last column: nearest neighbours and their distance in Å.
Space group I4/mmm (No. 139)
Asymmetric unit:
1 Sr 0.0000 0.0000 0.1875 [4 per cell]  1 Pt 3.15
2 Sr 0.0000 0.5000 0.0000 [4 per cell]  2 H 2.49
3 H 0.0000 0.0000 0.5000 [2 per cell]  2 Pt 1.97
4 Pt 0.0000 0.0000 0.3798 [4 per cell]  1 H 1.97



8.
An optimized crystal structure of LiY2Pd, computed with GGA-PBE.

abc: 4.9798 4.9798 3.6486
angles: 90.00 90.00 90.00
Last column: nearest neighbours and their distance in Å.
Space group P4/mmm (No. 123)
Asymmetric unit:
1 Li 0.0000 0.0000 0.0000 [1 per cell]  8 Y 3.09
2 Y 0.0000 0.5000 0.5000 [2 per cell]  4 Li 3.09, 4 Pd 3.09
3 Pd 0.5000 0.5000 0.0000 [1 per cell]  8 Y 3.09



9.
An optimized crystal structure of CdCu2W, computed with GGA-PBE.

abc: 2.7256 4.6425 4.9341
angles: 90.00 90.00 90.00
Last column: nearest neighbours and their distance in Å.
Space group Pmmm (No. 47)
Asymmetric unit:
1 Cd 0.0000 0.0000 0.0000 [1 per cell]  4 Cu 2.69, 2 Cd 2.73, 4 W 2.82
2 Cu 0.0000 0.5000 0.5000 [1 per cell]  4 W 2.69, 6 Cu 2.73-2.82
3 Cu 0.5000 0.5000 0.0000 [1 per cell]  4 Cd 2.69, 6 Cu 2.73-2.82
4 W 0.5000 0.0000 0.5000 [1 per cell]  4 Cu 2.69, 2 W 2.73, 4 Cd 2.82



10.
An optimized crystal structure of Al2RhI, computed with GGA-PBE.

abc: 5.6878 5.6878 13.7732
angles: 90.00 90.00 90.00
Last column: nearest neighbours and their distance in Å.
Space group I-42d (No. 122)
Asymmetric unit:
1 Al 0.1307 0.2500 0.1250 [8 per cell]  2 Rh 2.35
2 Rh 0.0000 0.0000 0.0000 [4 per cell]  4 Al 2.35
3 I 0.0000 0.0000 0.5000 [4 per cell]  4 Al 3.07

Summary:
Formation energy from raw total energies (eV per atom): 0.0207



11.
An optimized crystal structure of SiBi2Te, computed with GGA-PBE.

abc: 7.5922 7.5922 7.5922
angles: 90.00 90.00 90.00
Last column: nearest neighbours and their distance in Å.
Space group Fm-3m (No. 225)
Asymmetric unit:
1 Si 0.0000 0.0000 0.0000 [4 per cell]  8 Bi 3.29
2 Bi 0.2500 0.2500 0.2500 [8 per cell]  4 Te 3.29, 4 Si 3.29
3 Te 0.0000 0.0000 0.5000 [4 per cell]  8 Bi 3.29

Summary:
Formation energy from raw total energies (eV per atom): 0.3990



12.
An optimized crystal structure of TiBeCu2, computed with GGA-PBE.

abc: 3.5508 3.5508 16.8557
angles: 90.00 90.00 90.00
Last column: nearest neighbours and their distance in Å.
Space group I-42d (No. 122)
Asymmetric unit:
1 Ti 0.0000 0.0000 0.0000 [4 per cell]  4 Cu 2.49, 4 Be 2.51
2 Be 0.0000 0.0000 0.5000 [4 per cell]  4 Cu 2.42, 4 Ti 2.51
3 Cu 0.2209 0.2500 0.6250 [8 per cell]  2 Cu 2.37, 2 Be 2.42, 2 Ti 2.49



The records above give, respectively, E values of -3.320; -6.900; -2.380; -4.225; -6.986; -6.729; -3.653; -5.412; -4.908; -4.076; -3.683; -4.647 eV per atom.
The records above give, respectively, D(E_F) values of 2.8; 1.5; 1.4; 3.3; 3.9; 1.1; 4.0; 3.4; 2.2; 1.0; 2.6; 3.0 states/eV/f.u..